12
Lattice="6.234 0.000 0.000 -3.117 5.399 0.000 0.000 0.000 7.289" Properties=species:S:1:pos:R:3 comment="Ba3PmBi2O6 | the Alexandria database | GGA-PBE | relaxed" space_group="P-3m1, No. 164" dft_energy_ev_per_cell=-72.9 n_ef_per_ev_atom=0.182 vol_a3_per_atom=20.445 pbc="T T T"
Ba 0.000 0.000 0.000
Ba 0.000 3.599 4.543
Ba 3.117 1.800 2.746
Pm 0.000 0.000 3.644
Bi 0.000 3.599 0.876
Bi 3.117 1.800 6.412
O 0.000 1.886 2.309
O -1.484 4.456 2.309
O 1.634 0.943 4.980
O 1.484 4.456 2.309
O 4.601 0.943 4.980
O 3.117 3.513 4.980

20
Lattice="-4.447 4.447 4.447 4.447 -4.447 4.447 4.447 4.447 -4.447" Properties=species:S:1:pos:R:3 comment="Ba4PrBi3O12 | the Alexandria database | GGA-PBE | relaxed" space_group="Im-3m, No. 229" dft_energy_ev_per_cell=-124.0 n_ef_per_ev_atom=0.270 vol_a3_per_atom=17.590 pbc="T T T"
Ba 2.224 2.224 -2.224
Ba 2.224 -2.224 2.224
Ba -2.224 2.224 2.224
Ba 2.224 2.224 2.224
Pr 0.000 0.000 0.000
Bi 4.447 0.000 0.000
Bi 0.000 4.447 0.000
Bi 0.000 0.000 4.447
O 2.299 0.000 0.000
O 6.595 0.000 0.000
O 4.447 2.224 0.000
O 4.447 0.000 2.224
O 0.000 2.299 0.000
O 0.000 0.000 2.299
O 2.224 4.447 0.000
O 2.224 0.000 4.447
O 0.000 6.595 0.000
O 0.000 0.000 6.595
O 0.000 4.447 2.224
O 0.000 2.224 4.447

20
Lattice="-4.462 4.462 4.462 4.462 -4.462 4.462 4.462 4.462 -4.462" Properties=species:S:1:pos:R:3 comment="BaPr4Bi3O12 | the Alexandria database | GGA-PBE | relaxed" space_group="Im-3, No. 204" dft_energy_ev_per_cell=-136.8 n_ef_per_ev_atom=0.616 vol_a3_per_atom=17.769 pbc="T T T"
Ba 0.000 0.000 0.000
Pr 2.231 2.231 -2.231
Pr 2.231 -2.231 2.231
Pr -2.231 2.231 2.231
Pr 2.231 2.231 2.231
Bi 4.462 0.000 0.000
Bi 0.000 4.462 0.000
Bi 0.000 0.000 4.462
O 4.462 -1.695 2.918
O 2.768 1.545 0.000
O 6.157 1.545 0.000
O 2.918 4.462 -1.695
O 1.545 0.000 2.768
O 0.000 2.768 1.545
O 4.462 1.695 2.918
O 2.918 4.462 1.695
O 1.545 0.000 6.157
O -1.695 2.918 4.462
O 1.695 2.918 4.462
O 0.000 6.157 1.545

11
Lattice="5.533 -3.335 0.000 5.533 3.335 0.000 -3.504 0.000 6.356" Properties=species:S:1:pos:R:3 comment="Ba2PrBi2O6 | the Alexandria database | GGA-PBE | relaxed" space_group="C2/m, No. 12" dft_energy_ev_per_cell=-68.0 n_ef_per_ev_atom=0.414 vol_a3_per_atom=21.323 pbc="T T T"
Ba 1.843 0.000 0.844
Ba 5.719 0.000 5.512
Pr -1.752 0.000 3.178
Bi 2.240 0.000 4.691
Bi 5.322 0.000 1.665
O 3.895 1.689 1.359
O 0.631 0.000 3.150
O 3.667 1.689 4.998
O 3.895 -1.689 1.359
O 6.930 0.000 3.206
O 3.667 -1.689 4.998

15
Lattice="6.287 0.000 0.000 -3.144 5.445 0.000 0.000 0.000 7.729" Properties=species:S:1:pos:R:3 comment="Ba3PrBi2O9 | the Alexandria database | GGA-PBE | relaxed" space_group="P-3m1, No. 164" dft_energy_ev_per_cell=-94.7 n_ef_per_ev_atom=0.183 vol_a3_per_atom=17.637 pbc="T T T"
Ba 0.000 0.000 0.000
Ba 0.000 3.630 5.244
Ba 3.144 1.815 2.485
Pr 0.000 0.000 3.864
Bi 0.000 3.630 1.290
Bi 3.144 1.815 6.438
O -1.572 2.722 0.000
O 0.000 1.872 2.493
O -1.522 4.509 2.493
O 1.622 0.936 5.235
O 3.144 0.000 0.000
O 1.572 2.722 0.000
O 1.522 4.509 2.493
O 4.666 0.936 5.235
O 3.144 3.572 5.235

9
Lattice="5.541 0.000 0.000 -2.770 4.798 0.000 0.000 0.000 5.811" Properties=species:S:1:pos:R:3 comment="BaBiPtO6 | the Alexandria database | GGA-PBE | relaxed" space_group="P312, No. 149" dft_energy_ev_per_cell=-52.4 n_ef_per_ev_atom=0.705 vol_a3_per_atom=17.167 pbc="T T T"
Ba 0.000 0.000 0.000
Bi 0.000 3.199 2.906
Pt 2.770 1.599 2.906
O 2.060 0.119 4.044
O 1.133 1.725 1.767
O 3.481 0.119 1.767
O 1.843 2.955 4.044
O 4.408 1.725 4.044
O 3.697 2.955 1.767

12
Lattice="4.946 0.000 0.000 0.032 5.016 0.000 0.003 0.007 7.360" Properties=species:S:1:pos:R:3 comment="BaBi2PtO8 | the Alexandria database | GGA-PBE | relaxed" space_group="P-1, No. 2" dft_energy_ev_per_cell=-66.7 n_ef_per_ev_atom=0.479 vol_a3_per_atom=15.218 pbc="T T T"
Ba 0.000 0.000 0.000
Bi 2.489 2.508 1.966
Bi 2.492 2.515 5.394
Pt 0.002 0.004 3.680
O 0.699 3.828 5.128
O 0.703 3.830 2.233
O 1.650 1.165 3.682
O 2.293 1.338 0.000
O 2.688 3.686 7.360
O 3.331 3.859 3.678
O 4.278 1.193 5.127
O 4.282 1.195 2.232

20
Lattice="3.063 1.768 10.198 -3.063 1.768 10.198 0.000 -3.537 10.198" Properties=species:S:1:pos:R:3 comment="Ba2BiPtO6 | the Alexandria database | GGA-PBE | relaxed" space_group="R-3m, No. 166" dft_energy_ev_per_cell=-118.4 n_ef_per_ev_atom=0.187 vol_a3_per_atom=16.573 pbc="T T T"
Ba 0.000 0.000 3.890
Ba 0.000 0.000 8.472
Ba 0.000 0.000 22.121
Ba 0.000 0.000 26.704
Bi 0.000 0.000 12.381
Bi 0.000 0.000 18.213
Pt 0.000 0.000 0.000
Pt 0.000 0.000 15.297
O -1.402 -0.809 14.032
O 0.000 -1.984 11.511
O -1.718 0.992 11.511
O -1.718 -0.992 19.083
O 0.000 -1.619 16.562
O -1.402 0.809 16.562
O 1.402 -0.809 14.032
O 0.000 1.619 14.032
O 1.718 0.992 11.511
O 1.718 -0.992 19.083
O 0.000 1.984 19.083
O 1.402 0.809 16.562

10
Lattice="6.153 0.000 0.000 -3.073 5.344 0.000 -3.071 -1.774 5.421" Properties=species:S:1:pos:R:3 comment="BaPuBi2O6 | the Alexandria database | GGA-PBE | relaxed" space_group="P1, No. 1" dft_energy_ev_per_cell=-74.0 vol_a3_per_atom=17.829 pbc="T T T"
Ba 0.000 0.000 0.000
Pu 3.084 1.787 2.275
Bi 0.001 0.010 4.280
Bi 0.005 3.564 1.802
O -1.425 2.048 0.785
O -2.095 -0.021 3.285
O -1.994 3.535 3.275
O 2.490 0.236 0.778
O 2.038 3.072 0.771
O 1.030 1.857 3.279

18
Lattice="5.933 0.000 0.000 -2.967 5.138 0.000 0.000 0.000 11.079" Properties=species:S:1:pos:R:3 comment="BaPuBiO6 | the Alexandria database | GGA-PBE | relaxed" space_group="P-31c, No. 163" dft_energy_ev_per_cell=-139.7 vol_a3_per_atom=18.763 pbc="T T T"
Ba 0.000 0.000 0.000
Ba 0.000 0.000 5.539
Pu 0.000 3.425 2.770
Pu 2.967 1.713 8.309
Bi 0.000 3.425 8.309
Bi 2.967 1.713 2.770
O -0.917 2.011 1.640
O -1.684 3.339 3.899
O 0.917 2.011 3.899
O -0.767 4.927 1.640
O 2.200 0.211 7.180
O 1.283 1.799 9.438
O 1.684 3.339 1.640
O 0.767 4.927 3.899
O 3.734 0.211 9.438
O 2.050 3.128 7.180
O 4.650 1.799 7.180
O 3.883 3.128 9.438

8
Lattice="3.964 0.000 0.000 0.000 3.964 0.000 0.000 0.000 10.248" Properties=species:S:1:pos:R:3 comment="BaPu2BiO4 | the Alexandria database | GGA-PBE | relaxed" space_group="P4/mmm, No. 123" dft_energy_ev_per_cell=-73.5 n_ef_per_ev_atom=1.560 vol_a3_per_atom=20.129 pbc="T T T"
Ba 0.000 0.000 0.000
Pu 1.982 1.982 2.762
Pu 1.982 1.982 7.486
Bi 0.000 0.000 5.124
O 0.000 1.982 1.867
O 0.000 1.982 8.381
O 1.982 0.000 1.867
O 1.982 0.000 8.381

15
Lattice="6.270 0.000 0.000 -3.135 5.430 0.000 0.000 0.000 7.686" Properties=species:S:1:pos:R:3 comment="Ba3Pu2BiO9 | the Alexandria database | GGA-PBE | relaxed" space_group="P-3m1, No. 164" dft_energy_ev_per_cell=-122.2 n_ef_per_ev_atom=0.587 vol_a3_per_atom=17.444 pbc="T T T"
Ba 0.000 0.000 0.000
Ba 0.000 3.620 5.046
Ba 3.135 1.810 2.639
Pu 0.000 3.620 1.238
Pu 3.135 1.810 6.447
Bi 0.000 0.000 3.843
O -1.568 2.715 0.000
O 0.000 1.883 2.495
O -1.504 4.488 2.495
O 1.631 0.942 5.190
O 3.135 0.000 0.000
O 1.568 2.715 0.000
O 1.504 4.488 2.495
O 4.639 0.942 5.190
O 3.135 3.547 5.190

5
Lattice="5.909 0.000 0.000 0.000 5.909 0.000 0.000 0.000 5.142" Properties=species:S:1:pos:R:3 comment="Rb2BaBiO | the Alexandria database | GGA-PBE | relaxed" space_group="P4/mmm, No. 123" dft_energy_ev_per_cell=-17.5 n_ef_per_ev_atom=0.891 vol_a3_per_atom=35.907 pbc="T T T"
Rb 0.000 2.954 0.000
Rb 2.954 0.000 0.000
Ba 0.000 0.000 2.571
Bi 2.954 2.954 2.571
O 0.000 0.000 0.000

16
Lattice="-3.747 3.956 5.511 3.747 -3.956 5.511 3.747 3.956 -5.511" Properties=species:S:1:pos:R:3 comment="Rb2BaBiO4 | the Alexandria database | GGA-PBE | relaxed" space_group="Imma, No. 74" dft_energy_ev_per_cell=-79.1 n_ef_per_ev_atom=0.363 vol_a3_per_atom=20.421 pbc="T T T"
Rb 0.000 0.000 0.000
Rb -1.873 1.978 2.756
Rb 0.000 3.956 0.000
Rb 1.873 1.978 2.756
Ba 3.747 0.000 0.000
Ba 0.000 0.000 5.511
Bi 1.873 1.978 -2.756
Bi 1.873 -1.978 2.756
O 3.747 -0.442 2.712
O 3.747 3.514 -2.712
O 1.992 1.978 -0.490
O 5.501 1.978 -0.490
O -1.754 1.978 6.002
O 1.754 1.978 6.002
O 0.000 0.442 8.224
O 0.000 4.398 2.799

12
Lattice="-2.164 2.164 11.582 2.164 -2.164 11.582 2.164 2.164 -11.582" Properties=species:S:1:pos:R:3 comment="Rb2BaBi2O7 | the Alexandria database | GGA-PBE | relaxed" space_group="I4/mmm, No. 139" dft_energy_ev_per_cell=-63.3 n_ef_per_ev_atom=0.584 vol_a3_per_atom=18.077 pbc="T T T"
Rb 0.000 0.000 4.447
Rb 0.000 0.000 18.718
Ba 0.000 0.000 0.000
Bi 0.000 0.000 9.346
Bi 0.000 0.000 13.819
O 2.164 0.000 1.919
O 0.000 0.000 7.299
O 2.164 0.000 9.663
O 0.000 0.000 11.582
O 0.000 2.164 1.919
O 0.000 0.000 15.865
O 0.000 2.164 9.663

12
Lattice="6.821 -2.287 0.000 6.821 2.287 0.000 -3.930 0.000 8.821" Properties=species:S:1:pos:R:3 comment="RbBaBiO3 | the Alexandria database | GGA-PBE | relaxed" space_group="C2/m, No. 12" dft_energy_ev_per_cell=-63.6 n_ef_per_ev_atom=0.000 vol_a3_per_atom=22.935 pbc="T T T"
Rb 1.605 0.000 1.219
Rb 8.107 0.000 7.601
Ba -0.184 0.000 4.751
Ba 9.897 0.000 4.070
Bi 5.636 0.000 1.856
Bi 4.077 0.000 6.965
O -2.745 0.000 6.676
O 2.257 0.000 5.792
O 3.840 0.000 2.933
O 5.873 0.000 5.888
O 7.456 0.000 3.029
O 12.457 0.000 2.145

12
Lattice="2.768 1.598 7.730 -2.768 1.598 7.730 0.000 -3.196 7.730" Properties=species:S:1:pos:R:3 comment="BaRe2BiO8 | the Alexandria database | GGA-PBE | relaxed" space_group="R-3, No. 148" dft_energy_ev_per_cell=-88.8 n_ef_per_ev_atom=0.577 vol_a3_per_atom=17.097 pbc="T T T"
Ba 0.000 0.000 0.000
Re 0.000 0.000 5.810
Re 0.000 0.000 17.381
Bi 0.000 0.000 11.595
O -1.009 -1.660 10.186
O -1.942 0.044 13.004
O 0.000 0.000 7.610
O -0.933 1.703 10.186
O 0.933 -1.703 13.004
O 0.000 0.000 15.580
O 1.942 -0.044 10.186
O 1.009 1.660 13.004

10
Lattice="0.000 4.314 4.314 4.314 0.000 4.314 4.314 4.314 0.000" Properties=species:S:1:pos:R:3 comment="Ba2ReBiO6 | the Alexandria database | GGA-PBE | relaxed" space_group="Fm-3m, No. 225" dft_energy_ev_per_cell=-69.6 n_ef_per_ev_atom=0.466 vol_a3_per_atom=16.057 pbc="T T T"
Ba 2.157 2.157 2.157
Ba 6.471 6.471 6.471
Re 0.000 0.000 0.000
Bi 4.314 4.314 4.314
O 4.314 4.314 1.986
O 4.314 1.986 4.314
O 6.642 4.314 4.314
O 1.986 4.314 4.314
O 4.314 6.642 4.314
O 4.314 4.314 6.642

9
Lattice="5.519 0.000 0.000 -2.759 4.779 0.000 0.000 0.000 5.803" Properties=species:S:1:pos:R:3 comment="BaBiRhO6 | the Alexandria database | GGA-PBE | relaxed" space_group="P312, No. 149" dft_energy_ev_per_cell=-54.1 n_ef_per_ev_atom=0.321 vol_a3_per_atom=17.006 pbc="T T T"
Ba 0.000 0.000 0.000
Bi 0.000 3.186 2.902
Rh 2.759 1.593 2.902
O 2.092 0.124 4.052
O 1.154 1.750 1.752
O 3.426 0.124 1.752
O 1.821 2.905 4.052
O 4.365 1.750 4.052
O 3.698 2.905 1.752

12
Lattice="5.035 0.000 0.000 0.000 7.069 0.000 -0.229 0.000 5.084" Properties=species:S:1:pos:R:3 comment="BaBi2RhO8 | the Alexandria database | GGA-PBE | relaxed" space_group="P2/m, No. 10" dft_energy_ev_per_cell=-68.5 n_ef_per_ev_atom=0.612 vol_a3_per_atom=15.081 pbc="T T T"
Ba 0.000 0.000 0.000
Bi 2.403 1.830 2.542
Bi 2.403 5.239 2.542
Rh 0.000 3.535 0.000
O 1.007 3.535 3.449
O 1.195 2.146 0.725
O 1.195 4.923 0.725
O 1.225 0.000 2.980
O 3.581 0.000 2.104
O 3.611 2.146 4.360
O 3.611 4.923 4.360
O 3.799 3.535 1.635